# VTcNi4

An optimized crystal structure of VTcNi4 (PBE, Alexandria).

a b c (Å): 4.6482 4.6482 4.6482
angles (deg): 60.00 60.00 60.00
Sites, in units of the cell vectors:
V 0.0000 0.0000 0.0000
Tc 0.2500 0.2500 0.2500
Ni 0.1261 0.6246 0.6246
Ni 0.6246 0.1261 0.6246
Ni 0.6246 0.6246 0.1261
Ni 0.6246 0.6246 0.6246

Summary:
Its density of states at the Fermi level is 1.52 states/eV/atom. For the formation energy, the calculation gives -13 meV/atom. The total energy is -42.7 eV per formula unit. As for the calculated volume: 11.8 A^3/atom. Its total magnetization is 0.01 μB/cell.

# TbAg2Au8

An optimized crystal structure of TbAg2Au8 (PBE, Alexandria).

a b c (Å): 7.9360 7.9360 6.6805
angles (deg): 104.80 104.80 30.64
Sites, in units of the cell vectors:
Tb 0.0000 0.0000 0.0000
Ag 0.2750 0.2750 0.3657
Ag 0.7250 0.7250 0.6343
Au 0.0943 0.0943 0.4575
Au 0.1839 0.1839 0.9154
Au 0.3607 0.3607 0.8123
Au 0.4539 0.4539 0.2782
Au 0.5461 0.5461 0.7218
Au 0.6393 0.6393 0.1877
Au 0.8161 0.8161 0.0846
Au 0.9057 0.9057 0.5425

Summary:
Its density of states at the Fermi level is 0.38 states/eV/atom. For the formation energy, the calculation gives -267 meV/atom. The total energy is -39.5 eV per formula unit. As for the calculated volume: 18.8 A^3/atom. Its total magnetization is 0.00 μB/cell.

# BeNb2PdI

An optimized crystal structure of BeNb2PdI (PBE, Alexandria).

a b c (Å): 5.0349 5.0349 4.8251
angles (deg): 90.00 90.00 90.00
Sites, in units of the cell vectors:
Be 0.0000 0.0000 0.0000
Nb 0.0000 0.5000 0.5000
Nb 0.5000 0.0000 0.5000
Pd 0.5000 0.5000 0.0000
I 0.5000 0.5000 0.5000

Summary:
Its density of states at the Fermi level is 1.45 states/eV/atom. The total energy is -22.0 eV per formula unit. The calculation puts the formation energy (no corrections) at 1.722 eV per atom. As for the calculated volume: 24.5 A^3/atom. Its total magnetization is 0.00 μB/cell.

# Sr2In12Ir7

An optimized crystal structure of Sr2In12Ir7 (PBE, Alexandria).

a b c (Å): 11.0726 11.0726 4.2798
angles (deg): 90.00 90.00 120.00
Sites, in units of the cell vectors:
Sr 0.0000 0.0000 0.0000
Sr 0.3333 0.6667 0.5000
In 0.0350 0.2747 0.5000
In 0.1298 0.7272 0.0000
In 0.2397 0.9650 0.5000
In 0.2728 0.4026 0.0000
In 0.3843 0.1910 0.0000
In 0.5409 0.4240 0.5000
In 0.5760 0.1168 0.5000
In 0.5974 0.8702 0.0000
In 0.7253 0.7603 0.5000
In 0.8067 0.6157 0.0000
In 0.8090 0.1933 0.0000
In 0.8832 0.4591 0.5000
Ir 0.0475 0.4480 0.0000
Ir 0.2537 0.2283 0.5000
Ir 0.4005 0.9525 0.0000
Ir 0.5520 0.5995 0.0000
Ir 0.6667 0.3333 0.0000
Ir 0.7717 0.0254 0.5000
Ir 0.9746 0.7463 0.5000

Summary:
Its density of states at the Fermi level is 0.40 states/eV/atom. For the formation energy, the calculation gives -222 meV/atom. The total energy is -102.9 eV per formula unit. As for the calculated volume: 21.6 A^3/atom. Its total magnetization is 0.00 μB/cell.